The following is a DFT calculation (PBE) of a geometry-optimized Ac12Pm5Dy structure.

Its total energy is -4.280 eV/atom. Its density of states at the Fermi level is 1.485 states/eV/atom. The calculation puts the formation enthalpy at 0 K at 0.03 eV/atom. The value obtained for the theoretical density is 8.1 Mg/m³.

Cell lengths 6.752, 11.703, 18.950 Å; angles 90.00, 96.77, 90.00 degrees
Space group C2/m (No. 12)
Unique sites:
Ac 0.112 0.000 0.337 [4 per cell]
Ac 0.112 0.333 0.338 [8 per cell]
Ac 0.219 0.166 0.162 [8 per cell]
Ac 0.221 0.500 0.162 [4 per cell]
Pm 0.000 0.167 0.500 [4 per cell]
Pm 0.000 0.333 0.000 [4 per cell]
Pm 0.000 0.500 0.500 [2 per cell]
Dy 0.000 0.000 0.000 [2 per cell]


The following is a DFT calculation (PBE) of a geometry-optimized AcPmDy2 structure.

Its total energy is -4.471 eV/atom. Its density of states at the Fermi level is 1.142 states/eV/atom. The calculation puts the formation enthalpy at 0 K at 0.05 eV/atom. The value obtained for the theoretical density is 8.2 Mg/m³.

Cell lengths 3.7105, 3.7105, 35.3462 Å; angles 90.00, 90.00, 120.00 degrees
Space group R-3m (No. 166, hexagonal axes)
Unique sites:
Ac 0.0000 0.0000 0.0000 [3 per cell]
Pm 0.0000 0.0000 0.5000 [3 per cell]
Dy 0.0000 0.0000 0.2478 [6 per cell]


The following is a DFT calculation (PBE) of a geometry-optimized AcPm6Dy3 structure.

Its total energy is -4.503 eV/atom. Its density of states at the Fermi level is 1.529 states/eV/atom. The calculation puts the formation enthalpy at 0 K at 0.14 eV/atom. The value obtained for the theoretical density is 7.5 Mg/m³.

Cell lengths 9.923, 15.183, 9.258 Å; angles 90.00, 90.00, 90.00 degrees
Space group Cmc2_1 (No. 36)
Unique sites:
Ac 0.000 0.197 0.000 [4 per cell]
Pm 0.000 0.265 0.377 [4 per cell]
Pm 0.000 0.437 0.124 [4 per cell]
Pm 0.177 0.352 0.771 [8 per cell]
Pm 0.178 0.135 0.604 [8 per cell]
Dy 0.000 0.038 0.288 [4 per cell]
Dy 0.209 0.436 0.432 [8 per cell]